Entry 1:
A plane-wave DFT calculation with PBE-GGA was carried out for a geometry-optimized LiZrNb3 structure.

Computed properties:
Its size of the total moment is 0.00 μB per cell. Its total energy is -0.5292 Ry per atom. The value obtained for the density of states at the Fermi level is 6.18 states/eV/cell. As for the density: 6.70 g cm⁻³. The relative energy among the computed polymorphs comes out at 0.000 eV/atom. The formation energy is 0.9347 eV/atom.

The structure in extended XYZ format:
```
5
Lattice="4.537 0.000 0.000 0.000 4.537 0.000 0.000 0.000 4.537" Properties=species:S:1:pos:R:3 pbc="T T T"
Li 0.000 0.000 0.000
Zr 2.268 2.268 2.268
Nb 0.000 0.000 2.268
Nb 0.000 2.268 0.000
Nb 2.268 0.000 0.000
```

=====

Entry 2:
A plane-wave DFT calculation with PBE-GGA was carried out for a geometry-optimized LiZrNb3 structure.

Computed properties:
Its size of the total moment is 0.00 μB per cell. Its total energy is -0.4785 Ry per atom. The value obtained for the density of states at the Fermi level is 10.44 states/eV/cell. As for the density: 5.11 g cm⁻³. The relative energy among the computed polymorphs comes out at 0.689 eV/atom. The formation energy is 1.6236 eV/atom.

The structure in extended XYZ format:
```
5
Lattice="4.967 0.000 0.000 0.000 4.967 0.000 0.000 0.000 4.967" Properties=species:S:1:pos:R:3 pbc="T T T"
Li 0.000 0.000 0.000
Zr 2.484 2.484 2.484
Nb 0.000 2.484 2.484
Nb 2.484 0.000 2.484
Nb 2.484 2.484 0.000
```

=====

Entry 3:
A plane-wave DFT calculation with PBE-GGA was carried out for a geometry-optimized Li2ZrNb structure.

Computed properties:
Its size of the total moment is 0.00 μB per cell. Its total energy is -0.3779 Ry per atom. The value obtained for the density of states at the Fermi level is 2.67 states/eV/cell. As for the density: 4.84 g cm⁻³. The relative energy among the computed polymorphs comes out at 0.000 eV/atom. The formation energy is 0.4696 eV/atom.

The structure in extended XYZ format:
```
4
Lattice="0.000 3.238 3.238 3.238 0.000 3.238 3.238 3.238 0.000" Properties=species:S:1:pos:R:3 pbc="T T T"
Li 1.619 1.619 1.619
Li 4.858 4.858 4.858
Zr 0.000 0.000 0.000
Nb 3.238 3.238 3.238
```

=====

Entry 4:
A plane-wave DFT calculation with PBE-GGA was carried out for a geometry-optimized Li3Nd structure.

Computed properties:
Its size of the total moment is 0.00 μB per cell. Its total energy is -0.1795 Ry per atom. The value obtained for the density of states at the Fermi level is 3.06 states/eV/cell. As for the density: 2.83 g cm⁻³. The relative energy among the computed polymorphs comes out at 0.147 eV/atom. The formation energy is 0.1850 eV/atom.

The structure in extended XYZ format:
```
4
Lattice="-2.288 2.288 4.624 2.288 -2.288 4.624 2.288 2.288 -4.624" Properties=species:S:1:pos:R:3 pbc="T T T"
Li 0.000 0.000 0.000
Li 2.288 0.000 2.312
Li 0.000 2.288 2.312
Nd 0.000 0.000 4.624
```

=====

Entry 5:
A plane-wave DFT calculation with PBE-GGA was carried out for a geometry-optimized Li2Nd structure.

Computed properties:
Its size of the total moment is 0.00 μB per cell. Its total energy is -0.2032 Ry per atom. The value obtained for the density of states at the Fermi level is 4.32 states/eV/cell. As for the density: 3.49 g cm⁻³. The relative energy among the computed polymorphs comes out at 0.000 eV/atom. The formation energy is 0.1001 eV/atom.

The structure in extended XYZ format:
```
6
Lattice="0.000 4.221 4.221 4.221 0.000 4.221 4.221 4.221 0.000" Properties=species:S:1:pos:R:3 pbc="T T T"
Li 0.000 0.000 0.000
Li 2.111 2.111 0.000
Li 2.111 0.000 2.111
Li 0.000 2.111 2.111
Nd 3.166 3.166 3.166
Nd 5.276 5.276 5.276
```

=====

Entry 6:
A plane-wave DFT calculation with PBE-GGA was carried out for a geometry-optimized Li5Nd structure.

Computed properties:
Its size of the total moment is 0.00 μB per cell. Its total energy is -0.1689 Ry per atom. The value obtained for the density of states at the Fermi level is 3.74 states/eV/cell. As for the density: 2.14 g cm⁻³. The formation energy is 0.0913 eV/atom.

The structure in extended XYZ format:
```
6
Lattice="2.670 -7.755 0.000 2.670 7.755 0.000 0.000 0.000 3.360" Properties=species:S:1:pos:R:3 pbc="T T T"
Li 0.000 0.000 0.000
Li 2.670 5.372 1.680
Li 2.670 2.921 0.000
Li 2.670 -2.921 0.000
Li 2.670 -5.372 1.680
Nd 2.670 0.000 1.680
```

=====

Entry 7:
A plane-wave DFT calculation with PBE-GGA was carried out for a geometry-optimized LiNd3 structure.

Computed properties:
Its size of the total moment is 0.00 μB per cell. Its total energy is -0.2843 Ry per atom. The value obtained for the density of states at the Fermi level is 5.60 states/eV/cell. As for the density: 5.69 g cm⁻³. The relative energy among the computed polymorphs comes out at 0.113 eV/atom. The formation energy is 0.1857 eV/atom.

The structure in extended XYZ format:
```
4
Lattice="0.000 4.003 4.003 4.003 0.000 4.003 4.003 4.003 0.000" Properties=species:S:1:pos:R:3 pbc="T T T"
Li 0.000 0.000 0.000
Nd 2.002 2.002 2.002
Nd 4.003 4.003 4.003
Nd 6.005 6.005 6.005
```

=====

Entry 8:
A plane-wave DFT calculation with PBE-GGA was carried out for a geometry-optimized Li2Nd structure.

Computed properties:
Its size of the total moment is 0.00 μB per cell. Its total energy is -0.2020 Ry per atom. The value obtained for the density of states at the Fermi level is 3.03 states/eV/cell. As for the density: 3.53 g cm⁻³. The relative energy among the computed polymorphs comes out at 0.017 eV/atom. The formation energy is 0.1170 eV/atom.

The structure in extended XYZ format:
```
3
Lattice="-1.793 1.793 5.783 1.793 -1.793 5.783 1.793 1.793 -5.783" Properties=species:S:1:pos:R:3 pbc="T T T"
Li 0.000 0.000 2.237
Li 0.000 0.000 9.329
Nd 0.000 0.000 5.783
```

=====

Entry 9:
A plane-wave DFT calculation with PBE-GGA was carried out for a geometry-optimized Li3Nd structure.

Computed properties:
Its size of the total moment is 0.00 μB per cell. Its total energy is -0.1903 Ry per atom. The value obtained for the density of states at the Fermi level is 5.53 states/eV/cell. As for the density: 2.82 g cm⁻³. The relative energy among the computed polymorphs comes out at 0.000 eV/atom. The formation energy is 0.0377 eV/atom.

The structure in extended XYZ format:
```
8
Lattice="3.495 0.000 0.000 0.000 3.495 0.000 0.000 0.000 15.890" Properties=species:S:1:pos:R:3 pbc="T T T"
Li 0.874 0.874 0.841
Li 0.874 0.874 4.204
Li 0.874 0.874 13.314
Li 2.622 2.622 2.576
Li 2.622 2.622 11.686
Li 2.622 2.622 15.049
Nd 0.874 0.874 9.263
Nd 2.622 2.622 6.627
```

=====

Entry 10:
A plane-wave DFT calculation with PBE-GGA was carried out for a geometry-optimized Li3Nd structure.

Computed properties:
Its size of the total moment is 0.00 μB per cell. Its total energy is -0.1784 Ry per atom. The value obtained for the density of states at the Fermi level is 4.26 states/eV/cell. As for the density: 2.78 g cm⁻³. The relative energy among the computed polymorphs comes out at 0.163 eV/atom. The formation energy is 0.2003 eV/atom.

The structure in extended XYZ format:
```
4
Lattice="0.000 3.668 3.668 3.668 0.000 3.668 3.668 3.668 0.000" Properties=species:S:1:pos:R:3 pbc="T T T"
Li 0.000 0.000 0.000
Li 1.834 1.834 1.834
Li 5.502 5.502 5.502
Nd 3.668 3.668 3.668
```

=====

Entry 11:
A plane-wave DFT calculation with PBE-GGA was carried out for a geometry-optimized LiNd3 structure.

Computed properties:
Its size of the total moment is 0.00 μB per cell. Its total energy is -0.2806 Ry per atom. The value obtained for the density of states at the Fermi level is 5.10 states/eV/cell. As for the density: 5.51 g cm⁻³. The relative energy among the computed polymorphs comes out at 0.163 eV/atom. The formation energy is 0.2365 eV/atom.

The structure in extended XYZ format:
```
4
Lattice="3.420 0.000 0.000 0.000 3.480 0.000 0.000 0.000 11.145" Properties=species:S:1:pos:R:3 pbc="T T T"
Li 0.000 0.000 0.000
Nd 0.000 1.740 2.867
Nd 1.710 0.000 5.529
Nd 1.710 1.740 8.644
```

=====

Entry 12:
A plane-wave DFT calculation with PBE-GGA was carried out for a geometry-optimized Li3Nd structure.

Computed properties:
Its size of the total moment is 0.00 μB per cell. Its total energy is -0.1835 Ry per atom. The value obtained for the density of states at the Fermi level is 2.57 states/eV/cell. As for the density: 2.83 g cm⁻³. The relative energy among the computed polymorphs comes out at 0.093 eV/atom. The formation energy is 0.1306 eV/atom.

The structure in extended XYZ format:
```
4
Lattice="-1.716 2.750 5.132 1.716 -2.750 5.132 1.716 2.750 -5.132" Properties=species:S:1:pos:R:3 pbc="T T T"
Li 0.000 0.000 0.000
Li 1.716 0.000 2.271
Li 0.000 2.750 2.860
Nd 0.000 0.000 5.132
```

=====

Entry 13:
A plane-wave DFT calculation with PBE-GGA was carried out for a geometry-optimized LiNd2 structure.

Computed properties:
Its size of the total moment is 0.33 μB per cell. Its total energy is -0.2748 Ry per atom. The value obtained for the density of states at the Fermi level is 4.58 states/eV/cell. As for the density: 5.39 g cm⁻³. The formation energy is 0.0781 eV/atom.

The structure in extended XYZ format:
```
3
Lattice="-1.890 1.890 6.368 1.890 -1.890 6.368 1.890 1.890 -6.368" Properties=species:S:1:pos:R:3 pbc="T T T"
Li 0.000 0.000 0.000
Nd 0.000 0.000 4.418
Nd 0.000 0.000 8.319
```

=====

Entry 14:
A plane-wave DFT calculation with PBE-GGA was carried out for a geometry-optimized Li3Nd structure.

Computed properties:
Its size of the total moment is 0.00 μB per cell. Its total energy is -0.1827 Ry per atom. The value obtained for the density of states at the Fermi level is 3.05 states/eV/cell. As for the density: 2.79 g cm⁻³. The relative energy among the computed polymorphs comes out at 0.104 eV/atom. The formation energy is 0.1419 eV/atom.

The structure in extended XYZ format:
```
4
Lattice="3.234 0.000 0.000 0.000 5.331 0.000 0.000 0.000 5.706" Properties=species:S:1:pos:R:3 pbc="T T T"
Li 0.000 0.000 0.000
Li 0.000 2.666 1.638
Li 1.617 0.000 2.509
Nd 1.617 2.666 4.511
```